No. 1
# PBE-GGA NaHOF2, optimized geometry
data_NaHOF2
_chemical_formula_sum 'Na1 H1 O1 F2'
_space_group_name_H-M_alt 'P 4/m m m'
_space_group_IT_number 123
_space_group_name_Hall '-P 4 2'
_cell_length_a 4.343
_cell_length_b 4.343
_cell_length_c 4.743
_cell_angle_alpha 90.00
_cell_angle_beta 90.00
_cell_angle_gamma 90.00
loop_
_atom_site_label
_atom_site_type_symbol
_atom_site_fract_x
_atom_site_fract_y
_atom_site_fract_z
Na1 Na 0.000 0.000 0.000
H1 H 0.500 0.500 0.500
O1 O 0.000 0.000 0.500
F1 F 0.000 0.500 0.000
# - raw total energy (eV/cell) = -13.057

---

No. 2
# PBE-GGA NpBC2, optimized geometry
data_NpBC2
_chemical_formula_sum 'Np4 B4 C8'
_space_group_name_H-M_alt 'P n m a'
_space_group_IT_number 62
_space_group_name_Hall '-P 2ac 2n'
_cell_length_a 4.014
_cell_length_b 3.226
_cell_length_c 12.111
_cell_angle_alpha 90.00
_cell_angle_beta 90.00
_cell_angle_gamma 90.00
loop_
_atom_site_label
_atom_site_type_symbol
_atom_site_fract_x
_atom_site_fract_y
_atom_site_fract_z
Np1 Np 0.129 0.250 0.138
B1 B 0.133 0.750 0.427
C1 C 0.146 0.750 0.298
C2 C 0.191 0.250 0.487
# - raw total energy (eV/cell) = -146.647
# - energy of formation (eV per atom) = 0.35